This record from the Alexandria database describes a crystal of CaTa2Os relaxed with PBEsol. The functional is SCAN.

Cell lengths 2.7107, 5.5072, 5.5255 Å; angles 119.89, 90.00, 90.00 degrees
Atoms (fractional coordinates):
Ta  0.0000  0.0000  0.5000
Ca  0.5000  0.0000  0.0000
Os  0.5000  0.5000  0.0000
Ta  0.0000  0.5000  0.5000

Summary:
Polymorph energy (0 for the lowest one): 28 meV/atom
Energy of formation: 634 meV/atom